[1]
Density functional theory data (PBE) for a relaxed Tl2CdPb4 crystal.

Cell: 5.511 5.511 9.071 Å, 72.31 72.31 60.00°
Fractional positions:
1 Pb 0.386 0.386 0.843
2 Pb 0.127 0.127 0.620
3 Pb 0.873 0.873 0.380
4 Pb 0.614 0.614 0.157
5 Cd 0.000 0.000 0.000
6 Tl 0.254 0.254 0.237
7 Tl 0.746 0.746 0.763

offset from the most stable computed form: 0.094 eV/atom
volume: 31.92 A^3/atom
space group: R-3m
formation enthalpy at 0 K: 113 meV/atom

---

[2]
Density functional theory data (PBE) for a relaxed La2ScGaH crystal.

Cell: 4.841 4.841 4.765 Å, 90.00 90.00 90.00°
Fractional positions:
1 La 0.500 0.000 0.000
2 La 0.000 0.500 0.000
3 Sc 0.000 0.000 0.500
4 H 0.000 0.000 0.000
5 Ga 0.500 0.500 0.500

volume: 22.33 A^3/atom
space group: P4/mmm

---

[3]
Density functional theory data (PBE) for a relaxed V2SiMo4 crystal.

Cell: 4.462 4.462 6.898 Å, 71.13 71.13 90.00°
Fractional positions:
1 Si 0.000 0.000 0.000
2 Mo 0.193 0.193 0.614
3 Mo 0.500 0.000 0.000
4 Mo 0.000 0.500 0.000
5 Mo 0.807 0.807 0.386
6 V 0.622 0.622 0.757
7 V 0.378 0.378 0.243

volume: 17.45 A^3/atom
raw formation energy: 936 meV per atom
space group: I4/mmm

---

[4]
Density functional theory data (PBE) for a relaxed Pu2ThIr3 crystal.

Cell: 5.686 8.156 6.909 Å, 107.20 114.30 90.00°
Site moments in Bohr magnetons follow the coordinates.
Fractional positions:
1 Pu 0.336 0.418 0.674  4.76
2 Pu 0.337 0.918 0.674  4.76
3 Pu 0.663 0.082 0.326  4.76
4 Pu 0.664 0.582 0.326  4.76
5 Th 0.000 0.750 0.000  0.06
6 Th 0.000 0.250 0.000  0.06
7 Ir 0.177 0.089 0.355  -0.26
8 Ir 0.178 0.589 0.355  -0.26
9 Ir 0.822 0.411 0.645  -0.26
10 Ir 0.823 0.911 0.645  -0.26
11 Ir 0.500 0.250 0.000  -0.22
12 Ir 0.500 0.750 0.000  -0.22

volume: 23.02 A^3/atom
space group: Immm
formation enthalpy at 0 K: -547 meV/atom

---

Density of states at the Fermi level values (in states/eV/f.u.) by entry order: 2.8; 4.7; 7.8; 15.3.
Total DFT energy (no corrections) values (in eV/atom) by entry order: -2.81; -4.84; -8.63; -10.99.